The following is a DFT calculation (PBE) of crystalline CsRb2TlIn at its relaxed geometry.

```
data_CsRb2TlIn
_chemical_formula_sum 'Cs1 Rb2 Tl1 In1'
_space_group_name_H-M_alt 'P 4/m m m'
_space_group_IT_number 123
_space_group_name_Hall '-P 4 2'
_cell_length_a 8.041
_cell_length_b 8.041
_cell_length_c 8.097
_cell_angle_alpha 90.00
_cell_angle_beta 90.00
_cell_angle_gamma 90.00
loop_
_atom_site_label
_atom_site_fract_x
_atom_site_fract_y
_atom_site_fract_z
Cs1 0.000 0.000 0.000
Rb1 0.000 0.500 0.000
Tl1 0.500 0.500 0.500
In1 0.000 0.000 0.500
```

The energy above the most stable polymorph in this dataset comes out at 2.98 eV/f.u. The energy relative to the elements comes out at 0.65 eV/atom. The value obtained for the total magnetization is 0.00 μB per formula unit. Its density of states at the Fermi level is 8.84 states/eV/cell. The crystal system is tetragonal.

The following is a DFT calculation (PBE) of crystalline CsRb2TlIn at its relaxed geometry.

```
data_CsRb2TlIn
_chemical_formula_sum 'Cs1 Rb2 Tl1 In1'
_space_group_name_H-M_alt 'P 4/m m m'
_space_group_IT_number 123
_space_group_name_Hall '-P 4 2'
_cell_length_a 7.184
_cell_length_b 7.184
_cell_length_c 6.078
_cell_angle_alpha 90.00
_cell_angle_beta 90.00
_cell_angle_gamma 90.00
loop_
_atom_site_label
_atom_site_fract_x
_atom_site_fract_y
_atom_site_fract_z
Cs1 0.000 0.000 0.000
Rb1 0.000 0.500 0.500
Tl1 0.500 0.500 0.500
In1 0.500 0.500 0.000
```

The energy above the most stable polymorph in this dataset comes out at 0.00 eV/f.u. The energy relative to the elements comes out at 0.05 eV/atom. The value obtained for the total magnetization is 0.01 μB per formula unit. Its density of states at the Fermi level is 4.40 states/eV/cell. The crystal system is tetragonal.

The following is a DFT calculation (PBE) of crystalline CsRb2TlIn at its relaxed geometry.

```
data_CsRb2TlIn
_chemical_formula_sum 'Cs1 Rb2 Tl1 In1'
_space_group_name_H-M_alt 'P 4/m m m'
_space_group_IT_number 123
_space_group_name_Hall '-P 4 2'
_cell_length_a 7.248
_cell_length_b 7.248
_cell_length_c 6.111
_cell_angle_alpha 90.00
_cell_angle_beta 90.00
_cell_angle_gamma 90.00
loop_
_atom_site_label
_atom_site_fract_x
_atom_site_fract_y
_atom_site_fract_z
Cs1 0.000 0.000 0.000
Rb1 0.000 0.500 0.500
Tl1 0.500 0.500 0.000
In1 0.500 0.500 0.500
```

The energy above the most stable polymorph in this dataset comes out at 0.01 eV/f.u. The energy relative to the elements comes out at 0.05 eV/atom. The value obtained for the total magnetization is 0.00 μB per formula unit. Its density of states at the Fermi level is 4.51 states/eV/cell. The crystal system is tetragonal.

The following is a DFT calculation (PBE) of crystalline CsRbTlIn at its relaxed geometry.

```
data_CsRbTlIn
_chemical_formula_sum 'Cs4 Rb4 Tl4 In4'
_space_group_name_H-M_alt 'F -4 3 m'
_space_group_IT_number 216
_space_group_name_Hall 'F -4 2 3'
_cell_length_a 8.651
_cell_length_b 8.651
_cell_length_c 8.651
_cell_angle_alpha 90.00
_cell_angle_beta 90.00
_cell_angle_gamma 90.00
loop_
_atom_site_label
_atom_site_fract_x
_atom_site_fract_y
_atom_site_fract_z
Cs1 0.000 0.000 0.000
Rb1 0.250 0.250 0.750
Tl1 0.250 0.250 0.250
In1 0.000 0.000 0.500
```

The energy relative to the elements comes out at 0.01 eV/atom. The value obtained for the total magnetization is 0.00 μB per formula unit. Its density of states at the Fermi level is 6.50 states/eV/cell. The crystal system is cubic.

The following is a DFT calculation (PBE) of crystalline Cs2RbTl6In at its relaxed geometry.

```
data_Cs2RbTl6In
_chemical_formula_sum 'Cs4 Rb2 Tl12 In2'
_space_group_name_H-M_alt 'I m m m'
_space_group_IT_number 71
_space_group_name_Hall '-I 2 2'
_cell_length_a 9.023
_cell_length_b 9.128
_cell_length_c 12.826
_cell_angle_alpha 90.00
_cell_angle_beta 90.00
_cell_angle_gamma 90.00
loop_
_atom_site_label
_atom_site_fract_x
_atom_site_fract_y
_atom_site_fract_z
Cs1 0.000 0.000 0.250
Rb1 0.000 0.500 0.000
Tl1 0.000 0.500 0.273
Tl2 0.228 0.273 0.500
In1 0.000 0.500 0.500
```

The energy relative to the elements comes out at 0.12 eV/atom. The value obtained for the total magnetization is 0.00 μB per formula unit. Its density of states at the Fermi level is 16.70 states/eV/cell. The crystal system is orthorhombic.

The following is a DFT calculation (PBE) of crystalline Cs3InRe at its relaxed geometry.

```
data_Cs3InRe
_chemical_formula_sum 'Cs3 In1 Re1'
_space_group_name_H-M_alt 'P m -3 m'
_space_group_IT_number 221
_space_group_name_Hall '-P 4 2 3'
_cell_length_a 6.167
_cell_length_b 6.167
_cell_length_c 6.167
_cell_angle_alpha 90.00
_cell_angle_beta 90.00
_cell_angle_gamma 90.00
loop_
_atom_site_label
_atom_site_fract_x
_atom_site_fract_y
_atom_site_fract_z
Cs1 0.000 0.000 0.500
In1 0.500 0.500 0.500
Re1 0.000 0.000 0.000
```

The energy relative to the elements comes out at 1.50 eV/atom. The value obtained for the total magnetization is 0.00 μB per formula unit. Its density of states at the Fermi level is 5.39 states/eV/cell. The crystal system is cubic.

The following is a DFT calculation (PBE) of crystalline CsInRe3 at its relaxed geometry.

```
data_CsInRe3
_chemical_formula_sum 'Cs1 In1 Re3'
_space_group_name_H-M_alt 'P m -3 m'
_space_group_IT_number 221
_space_group_name_Hall '-P 4 2 3'
_cell_length_a 4.981
_cell_length_b 4.981
_cell_length_c 4.981
_cell_angle_alpha 90.00
_cell_angle_beta 90.00
_cell_angle_gamma 90.00
loop_
_atom_site_label
_atom_site_fract_x
_atom_site_fract_y
_atom_site_fract_z
Cs1 0.000 0.000 0.000
In1 0.500 0.500 0.500
Re1 0.000 0.000 0.500
```

The energy above the most stable polymorph in this dataset comes out at 4.23 eV/f.u. The energy relative to the elements comes out at 3.90 eV/atom. The value obtained for the total magnetization is 4.39 μB per formula unit. Its density of states at the Fermi level is 5.29 states/eV/cell. The crystal system is cubic.

The following is a DFT calculation (PBE) of crystalline CsInRe3 at its relaxed geometry.

```
data_CsInRe3
_chemical_formula_sum 'Cs1 In1 Re3'
_space_group_name_H-M_alt 'P m -3 m'
_space_group_IT_number 221
_space_group_name_Hall '-P 4 2 3'
_cell_length_a 5.140
_cell_length_b 5.140
_cell_length_c 5.140
_cell_angle_alpha 90.00
_cell_angle_beta 90.00
_cell_angle_gamma 90.00
loop_
_atom_site_label
_atom_site_fract_x
_atom_site_fract_y
_atom_site_fract_z
Cs1 0.000 0.000 0.000
In1 0.500 0.500 0.500
Re1 0.000 0.500 0.500
```

The energy above the most stable polymorph in this dataset comes out at 0.00 eV/f.u. The energy relative to the elements comes out at 3.05 eV/atom. The value obtained for the total magnetization is 6.14 μB per formula unit. Its density of states at the Fermi level is 7.38 states/eV/cell. The crystal system is cubic.

The following is a DFT calculation (PBE) of crystalline CsInReSn2 at its relaxed geometry.

```
data_CsInReSn2
_chemical_formula_sum 'Cs1 In1 Re1 Sn2'
_space_group_name_H-M_alt 'P 4/m m m'
_space_group_IT_number 123
_space_group_name_Hall '-P 4 2'
_cell_length_a 5.257
_cell_length_b 5.257
_cell_length_c 6.092
_cell_angle_alpha 90.00
_cell_angle_beta 90.00
_cell_angle_gamma 90.00
loop_
_atom_site_label
_atom_site_fract_x
_atom_site_fract_y
_atom_site_fract_z
Cs1 0.000 0.000 0.000
In1 0.500 0.500 0.000
Re1 0.000 0.000 0.500
Sn1 0.000 0.500 0.500
```

The energy relative to the elements comes out at 0.65 eV/atom. The value obtained for the total magnetization is 0.00 μB per formula unit. Its density of states at the Fermi level is 2.54 states/eV/cell. The crystal system is tetragonal.

The following is a DFT calculation (PBE) of crystalline Cs3InRh at its relaxed geometry.

```
data_Cs3InRh
_chemical_formula_sum 'Cs3 In1 Rh1'
_space_group_name_H-M_alt 'P m -3 m'
_space_group_IT_number 221
_space_group_name_Hall '-P 4 2 3'
_cell_length_a 6.215
_cell_length_b 6.215
_cell_length_c 6.215
_cell_angle_alpha 90.00
_cell_angle_beta 90.00
_cell_angle_gamma 90.00
loop_
_atom_site_label
_atom_site_fract_x
_atom_site_fract_y
_atom_site_fract_z
Cs1 0.000 0.000 0.500
In1 0.500 0.500 0.500
Rh1 0.000 0.000 0.000
```

The energy relative to the elements comes out at 0.52 eV/atom. The value obtained for the total magnetization is 0.00 μB per formula unit. Its density of states at the Fermi level is 8.81 states/eV/cell. The crystal system is cubic.

The following is a DFT calculation (PBE) of crystalline CsIn3Rh at its relaxed geometry.

```
data_CsIn3Rh
_chemical_formula_sum 'Cs1 In3 Rh1'
_space_group_name_H-M_alt 'P m -3 m'
_space_group_IT_number 221
_space_group_name_Hall '-P 4 2 3'
_cell_length_a 5.305
_cell_length_b 5.305
_cell_length_c 5.305
_cell_angle_alpha 90.00
_cell_angle_beta 90.00
_cell_angle_gamma 90.00
loop_
_atom_site_label
_atom_site_fract_x
_atom_site_fract_y
_atom_site_fract_z
Cs1 0.000 0.000 0.000
In1 0.000 0.500 0.500
Rh1 0.500 0.500 0.500
```

The energy above the most stable polymorph in this dataset comes out at 0.00 eV/f.u. The energy relative to the elements comes out at -0.20 eV/atom. The value obtained for the total magnetization is 0.00 μB per formula unit. Its density of states at the Fermi level is 5.74 states/eV/cell. The crystal system is cubic.

The following is a DFT calculation (PBE) of crystalline Cs2InRh at its relaxed geometry.

```
data_Cs2InRh
_chemical_formula_sum 'Cs8 In4 Rh4'
_space_group_name_H-M_alt 'I -4 2 d'
_space_group_IT_number 122
_space_group_name_Hall 'I -4 2bw'
_cell_length_a 12.685
_cell_length_b 12.685
_cell_length_c 5.192
_cell_angle_alpha 90.00
_cell_angle_beta 90.00
_cell_angle_gamma 90.00
loop_
_atom_site_label
_atom_site_fract_x
_atom_site_fract_y
_atom_site_fract_z
Cs1 0.078 0.750 0.125
In1 0.000 0.000 0.500
Rh1 0.000 0.000 0.000
```

The energy relative to the elements comes out at 0.21 eV/atom. The value obtained for the total magnetization is 0.00 μB per formula unit. Its density of states at the Fermi level is 15.19 states/eV/cell. The crystal system is tetragonal.

Please write out number 4 again, unchanged.
The following is a DFT calculation (PBE) of crystalline CsRbTlIn at its relaxed geometry.

```
data_CsRbTlIn
_chemical_formula_sum 'Cs4 Rb4 Tl4 In4'
_space_group_name_H-M_alt 'F -4 3 m'
_space_group_IT_number 216
_space_group_name_Hall 'F -4 2 3'
_cell_length_a 8.651
_cell_length_b 8.651
_cell_length_c 8.651
_cell_angle_alpha 90.00
_cell_angle_beta 90.00
_cell_angle_gamma 90.00
loop_
_atom_site_label
_atom_site_fract_x
_atom_site_fract_y
_atom_site_fract_z
Cs1 0.000 0.000 0.000
Rb1 0.250 0.250 0.750
Tl1 0.250 0.250 0.250
In1 0.000 0.000 0.500
```

The energy relative to the elements comes out at 0.01 eV/atom. The value obtained for the total magnetization is 0.00 μB per formula unit. Its density of states at the Fermi level is 6.50 states/eV/cell. The crystal system is cubic.

Number 2 is which compound? CsRb2TlIn